# Pr2AlVO6

Pr2AlVO6 after structural relaxation (GGA+U, Alexandria via LeMat-Bulk).

Cell and atoms, written as POSCAR:
```
Pr2AlVO6
1.0
-4.5235 1.7747 2.5187
-3.0711 -1.8450 -4.2156
-0.7109 -6.8934 3.5349
O V Pr Al
12 2 4 2
direct
0.2245 0.2109 0.4596
0.7094 0.2757 0.5404
0.7755 0.7891 0.5404
0.9244 0.5132 0.2419
0.2755 0.7109 0.0404
0.7906 0.7757 0.9596
0.7245 0.2891 0.9596
0.2094 0.2243 0.0404
0.5756 0.0132 0.2581
0.0756 0.4868 0.7581
0.4244 0.9868 0.7419
0.2906 0.7243 0.4596
0.0000 0.5000 0.5000
0.5000 0.0000 0.0000
0.0095 0.9609 0.2494
0.4905 0.4609 0.2506
0.9905 0.0391 0.7506
0.5095 0.5391 0.7494
0.0000 0.5000 0.0000
0.5000 0.0000 0.5000
```

Results
N(E_F), states/eV per cell: 0.00
Size of the total moment, μB/atom: 0.20
Space group: P2_1/c (14)
Total energy, eV per atom: -8.047